ScReSnS2 (PBE, optimized geometry); crystal system = tetragonal; D(E_F) = 0.604 states/eV/atom; size of the total moment = 3.9 μB per formula unit; space-group type = P4/mmm (123); ΔE_f (raw) = 56.7 kJ/mol of atoms
1.0
4.811 0.000 0.000
0.000 5.401 0.000
0.000 0.000 4.811
S Re Sc Sn
2 1 1 1
Direct
0.000 0.000 0.500
0.500 0.000 0.000
0.000 0.500 0.000
0.000 0.000 0.000
0.500 0.500 0.500

***

Y2ScReS (PBE, optimized geometry); crystal system = tetragonal; D(E_F) = 1.095 states/eV/atom; size of the total moment = 0.0 μB per formula unit; space-group type = P4/mmm (123); ΔE_f (raw) = -22.0 kJ/mol of atoms
1.0
5.228 0.000 0.000
0.000 4.375 0.000
0.000 0.000 5.228
Y Re Sc S
2 1 1 1
Direct
0.500 0.000 0.000
0.000 0.000 0.500
0.000 0.500 0.000
0.500 0.500 0.500
0.000 0.000 0.000

***

ScZnRe2S (PBE, optimized geometry); crystal system = tetragonal; D(E_F) = 1.096 states/eV/atom; size of the total moment = 1.7 μB per formula unit; space-group type = P4/mmm (123); ΔE_f (raw) = 142.9 kJ/mol of atoms
1.0
4.676 0.000 0.000
0.000 4.409 0.000
0.000 0.000 4.676
Re Zn Sc S
2 1 1 1
Direct
0.500 0.000 0.000
0.000 0.000 0.500
0.000 0.000 0.000
0.500 0.500 0.500
0.000 0.500 0.000

***

ReSeS2 (PBE, optimized geometry); offset from the most stable computed form = 930 meV per atom; crystal system = cubic; D(E_F) = 0.462 states/eV/atom; size of the total moment = 0.0 μB per formula unit; space-group type = Fm-3m (225); ΔE_f (raw) = 75.4 kJ/mol of atoms
1.0
0.000 3.111 3.111
3.111 0.000 3.111
3.111 3.111 0.000
Re S Se
1 2 1
Direct
0.500 0.500 0.500
0.250 0.250 0.250
0.750 0.750 0.750
0.000 0.000 0.000

***

ReSeS2 (PBE, optimized geometry); offset from the most stable computed form = 0 meV per atom; crystal system = triclinic; D(E_F) = 0.625 states/eV/atom; size of the total moment = 0.0 μB per formula unit; space-group type = P1 (1); ΔE_f (raw) = -14.4 kJ/mol of atoms
1.0
3.321 0.000 -0.003
0.000 5.428 0.381
0.000 -0.135 10.124
Se Re S
2 2 4
Direct
0.406 0.500 0.226
0.406 0.904 0.229
0.401 0.704 0.728
0.082 0.204 0.728
0.557 0.360 0.877
0.925 0.861 0.877
0.556 0.048 0.579
0.924 0.548 0.579

***

ReSeS2 (PBE, optimized geometry); offset from the most stable computed form = 259 meV per atom; crystal system = trigonal; D(E_F) = 0.990 states/eV/atom; size of the total moment = 0.0 μB per formula unit; space-group type = R-3m (166); ΔE_f (raw) = 10.6 kJ/mol of atoms
1.0
1.935 6.545 4.484
4.776 5.976 2.859
2.342 7.698 1.396
S Se Re
2 1 1
Direct
0.895 0.895 0.895
0.105 0.105 0.105
0.000 0.000 0.000
0.500 0.500 0.500

***

Re2SeS (PBE, optimized geometry); offset from the most stable computed form = 0 meV per atom; crystal system = tetragonal; D(E_F) = 0.614 states/eV/atom; size of the total moment = 0.0 μB per formula unit; space-group type = I-42d (122); ΔE_f (raw) = 33.4 kJ/mol of atoms
1.0
4.261 0.000 0.000
0.000 4.261 0.000
2.130 2.130 7.547
Se Re S
2 4 2
Direct
0.750 0.250 0.500
0.000 0.000 0.000
0.574 0.125 0.250
0.875 0.824 0.750
0.176 0.625 0.250
0.375 0.426 0.750
0.500 0.500 0.000
0.250 0.750 0.500

***

Re2SeS3 (PBE, optimized geometry); crystal system = monoclinic; D(E_F) = 0.414 states/eV/atom; size of the total moment = 0.0 μB per formula unit; space-group type = C2/m (12); ΔE_f (raw) = -41.6 kJ/mol of atoms
1.0
-1.341 2.810 -0.683
-1.667 -0.996 -8.269
-9.117 -1.669 3.595
S Re Se
6 4 2
Direct
0.806 0.821 0.567
0.683 0.688 0.946
0.194 0.179 0.433
0.317 0.312 0.054
0.947 0.888 0.218
0.053 0.112 0.782
0.350 0.894 0.406
0.650 0.106 0.594
0.153 0.597 0.098
0.847 0.403 0.902
0.440 0.420 0.699
0.560 0.580 0.301

***

Re2SeS (PBE, optimized geometry); offset from the most stable computed form = 257 meV per atom; crystal system = cubic; D(E_F) = 0.821 states/eV/atom; size of the total moment = 0.0 μB per formula unit; space-group type = Fm-3m (225); ΔE_f (raw) = 58.1 kJ/mol of atoms
1.0
0.000 3.058 3.058
3.058 0.000 3.058
3.058 3.058 0.000
Se Re S
1 2 1
Direct
0.500 0.500 0.500
0.750 0.750 0.750
0.250 0.250 0.250
0.000 0.000 0.000

***

ReSe2S (PBE, optimized geometry); offset from the most stable computed form = 213 meV per atom; crystal system = tetragonal; D(E_F) = 1.106 states/eV/atom; size of the total moment = 0.0 μB per formula unit; space-group type = I-42d (122); ΔE_f (raw) = 55.6 kJ/mol of atoms
1.0
6.431 0.000 0.000
0.000 6.431 0.000
3.215 3.215 4.587
Se S Re
4 2 2
Direct
0.375 0.330 0.750
0.080 0.625 0.250
0.875 0.920 0.750
0.670 0.125 0.250
0.500 0.500 0.000
0.250 0.750 0.500
0.000 0.000 0.000
0.750 0.250 0.500

***

ReSeS2 (PBE, optimized geometry); offset from the most stable computed form = 521 meV per atom; crystal system = tetragonal; D(E_F) = 0.777 states/eV/atom; size of the total moment = 0.0 μB per formula unit; space-group type = I-42d (122); ΔE_f (raw) = 35.9 kJ/mol of atoms
1.0
-4.571 -2.401 -3.583
2.734 -5.651 0.299
-3.273 -4.973 1.995
S Se Re
4 2 2
Direct
0.875 0.944 0.750
0.694 0.125 0.250
0.056 0.625 0.250
0.375 0.306 0.750
0.500 0.500 0.000
0.250 0.750 0.500
0.750 0.250 0.500
0.000 0.000 0.000

***

ReSe2S (PBE, optimized geometry); offset from the most stable computed form = 0 meV per atom; crystal system = trigonal; D(E_F) = 0.529 states/eV/atom; size of the total moment = 0.9 μB per formula unit; space-group type = R-3m (166); ΔE_f (raw) = 35.0 kJ/mol of atoms
1.0
2.075 0.000 7.748
-1.037 1.797 7.748
-1.037 -1.797 7.748
Re S Se
1 1 2
Direct
0.500 0.500 0.500
0.000 0.000 0.000
0.897 0.897 0.897
0.103 0.103 0.103

***

Q: Which value of D(E_F) does entry 12 give?
A: 0.529 states/eV/atom

***

Q: The lowest D(E_F) belongs to which entry?
A: Re2SeS3

***

Q: Look up the size of the total moment of the eleventh one.
A: 0.0 μB per formula unit

***

Q: The lowest D(E_F) belongs to which entry?
A: Re2SeS3